1.
{"formula": "Cs2GeCl4", "functional": "PBE", "state": "optimized geometry", "e_form_raw_ev_per_atom": -1.520, "spacegroup": "I4/mmm", "lattice_angstrom": [[-5.032, 1.784, 0.015], [-1.599, -4.528, 2.333], [-2.026, 2.199, 8.988]], "species": ["Cs", "Cs", "Cl", "Cl", "Ge", "Cl", "Cl"], "fractional_positions": [[0.643, 0.643, 0.715], [0.357, 0.357, 0.285], [0.000, 0.500, 0.000], [0.155, 0.155, 0.690], [0.000, 0.000, 0.000], [0.500, 0.000, 0.000], [0.845, 0.845, 0.310]]}

***

2.
{"formula": "Sc2CoPb", "functional": "PBE", "state": "optimized geometry", "e_form_mev_per_atom": -5, "spacegroup": "F-43m", "lattice_angstrom": [[4.741, 0.000, 0.000], [2.370, 4.106, 0.000], [2.370, 1.369, 3.871]], "species": ["Sc", "Sc", "Pb", "Co"], "fractional_positions": [[0.250, 0.250, 0.250], [0.000, 0.000, 0.000], [0.750, 0.750, 0.750], [0.500, 0.500, 0.500]]}

***

3.
{"formula": "NaIn2FePb", "functional": "PBE", "state": "optimized geometry", "e_form_mev_per_atom": 98, "spacegroup": "P4/mmm", "lattice_angstrom": [[-4.521, 0.183, 2.300], [-2.307, -0.503, -4.494], [0.066, -5.057, 0.533]], "species": ["In", "In", "Pb", "Na", "Fe"], "fractional_positions": [[0.500, 0.000, 0.000], [0.000, 0.500, 0.000], [0.000, 0.000, 0.500], [0.500, 0.500, 0.500], [0.000, 0.000, 0.000]]}

***

4.
{"formula": "La3Y", "functional": "PBE", "state": "optimized geometry", "e_form_mev_per_atom": 6, "spacegroup": "Pm-3m", "lattice_angstrom": [[5.215, 0.000, 0.000], [0.000, 5.215, 0.000], [0.000, 0.000, 5.215]], "species": ["La", "La", "La", "Y"], "fractional_positions": [[0.500, 0.000, 0.500], [0.000, 0.000, 0.000], [0.000, 0.500, 0.500], [0.500, 0.500, 0.000]]}

***

5.
{"formula": "Pm6MgHg5", "functional": "PBE", "state": "optimized geometry", "e_form_mev_per_atom": -411, "spacegroup": "P2/m", "lattice_angstrom": [[0.372, -4.040, -3.521], [6.940, -1.724, 2.712], [-3.551, -3.004, 7.178]], "species": ["Pm", "Pm", "Pm", "Hg", "Hg", "Pm", "Hg", "Hg", "Mg", "Pm", "Hg", "Pm"], "fractional_positions": [[0.169, 0.752, 0.339], [0.831, 0.248, 0.661], [0.500, 0.257, 0.000], [0.000, 0.500, 0.000], [0.664, 0.500, 0.330], [0.169, 0.248, 0.339], [0.345, 0.000, 0.688], [0.655, 0.000, 0.312], [0.000, 0.000, 0.000], [0.831, 0.752, 0.661], [0.336, 0.500, 0.670], [0.500, 0.743, 0.000]]}

***

6.
{"formula": "Tb4NiPd3", "functional": "PBE", "state": "optimized geometry", "e_form_mev_per_atom": -782, "spacegroup": "Pmm2", "lattice_angstrom": [[3.779, 0.000, 0.000], [0.000, 4.477, 0.000], [0.000, 0.000, 10.495]], "species": ["Tb", "Tb", "Pd", "Pd", "Ni", "Tb", "Tb", "Pd"], "fractional_positions": [[0.000, 0.000, 0.137], [0.500, 0.000, 0.639], [0.500, 0.000, 0.920], [0.000, 0.500, 0.587], [0.500, 0.500, 0.081], [0.000, 0.500, 0.868], [0.500, 0.500, 0.354], [0.000, 0.000, 0.414]]}

***

7.
{"formula": "Pu2Si3Pt5", "functional": "PBE", "state": "optimized geometry", "e_form_raw_ev_per_atom": -0.794, "spacegroup": "Cmc2_1", "lattice_angstrom": [[4.246, 0.000, -0.723], [0.000, 6.801, 0.000], [-0.138, 0.000, 12.011]], "species": ["Pt", "Pu", "Si", "Pt", "Pt", "Pt", "Pt", "Si", "Pu", "Pu", "Si", "Si", "Pt", "Si", "Pu", "Si", "Pt", "Pt", "Pt", "Pt"], "fractional_positions": [[0.691, 0.400, 0.383], [0.481, 0.761, 0.962], [0.603, 0.586, 0.205], [0.123, 0.232, 0.247], [0.950, 0.064, 0.900], [0.877, 0.732, 0.753], [0.608, 0.963, 0.216], [0.225, 0.175, 0.450], [0.173, 0.743, 0.345], [0.827, 0.243, 0.655], [0.397, 0.086, 0.795], [0.945, 0.451, 0.891], [0.729, 0.989, 0.458], [0.775, 0.675, 0.550], [0.519, 0.261, 0.038], [0.055, 0.951, 0.109], [0.271, 0.489, 0.542], [0.309, 0.900, 0.617], [0.050, 0.564, 0.100], [0.392, 0.463, 0.784]]}

***

8.
{"formula": "Tm2ThCo", "functional": "PBE", "state": "optimized geometry", "e_form_mev_per_atom": 430, "spacegroup": "R-3m", "lattice_angstrom": [[-1.759, 4.946, 0.076], [-2.402, 1.867, 4.279], [2.134, 3.501, 2.891]], "species": ["Co", "Tm", "Tm", "Th"], "fractional_positions": [[0.000, 0.000, 0.000], [0.240, 0.240, 0.280], [0.760, 0.760, 0.720], [0.500, 0.500, 0.500]]}

***

9.
{"formula": "YPa3N6", "functional": "PBE", "state": "optimized geometry", "e_form_raw_ev_per_atom": -1.436, "spacegroup": "Cmmm", "lattice_angstrom": [[3.678, 0.000, 0.000], [0.000, 6.835, -0.111], [0.000, -2.255, 6.454]], "species": ["Pa", "Pa", "N", "N", "Pa", "N", "N", "N", "N", "Y"], "fractional_positions": [[0.500, 0.500, 0.000], [0.000, 0.000, 0.000], [0.500, 0.350, 0.650], [0.000, 0.668, 0.928], [0.500, 0.000, 0.500], [0.500, 0.650, 0.350], [0.000, 0.072, 0.332], [0.000, 0.332, 0.072], [0.000, 0.928, 0.668], [0.000, 0.500, 0.500]]}

***

10.
{"formula": "TbGdCl2", "functional": "PBE", "state": "optimized geometry", "e_form_raw_ev_per_atom": -1.276, "spacegroup": "R-3m", "lattice_angstrom": [[-2.611, -1.410, -1.964], [0.531, -3.065, -1.728], [-3.821, -6.341, 6.409]], "species": ["Cl", "Tb", "Cl", "Gd"], "fractional_positions": [[0.098, 0.098, 0.706], [0.500, 0.500, 0.500], [0.902, 0.902, 0.294], [0.000, 0.000, 0.000]]}

***

11.
{"formula": "CdPHCl2", "functional": "PBE", "state": "optimized geometry", "spacegroup": "P4/mmm", "lattice_angstrom": [[5.117, 0.000, 0.000], [0.000, 5.117, 0.000], [0.000, 0.000, 3.350]], "species": ["H", "Cd", "P", "Cl", "Cl"], "fractional_positions": [[0.000, 0.000, 0.000], [0.500, 0.500, 0.500], [0.000, 0.000, 0.500], [0.500, 0.000, 0.000], [0.000, 0.500, 0.000]]}

***

12.
{"formula": "Cs2AgHCl", "functional": "PBE", "state": "optimized geometry", "spacegroup": "P4/mmm", "lattice_angstrom": [[6.160, 0.000, 0.000], [0.000, 6.160, 0.000], [0.000, 0.000, 4.108]], "species": ["H", "Cs", "Cs", "Ag", "Cl"], "fractional_positions": [[0.000, 0.000, 0.000], [0.500, 0.000, 0.000], [0.000, 0.500, 0.000], [0.000, 0.000, 0.500], [0.500, 0.500, 0.500]]}

***

13.
{"formula": "NdEuZnGe", "functional": "PBE", "state": "optimized geometry", "e_form_mev_per_atom": -480, "spacegroup": "F-43m", "lattice_angstrom": [[-4.620, -0.205, -2.438], [-0.470, -2.631, -4.493], [-2.688, -4.482, -0.135]], "species": ["Zn", "Ge", "Nd", "Eu"], "fractional_positions": [[0.750, 0.750, 0.750], [0.250, 0.250, 0.250], [0.500, 0.500, 0.500], [0.000, 0.000, 0.000]]}

***

14.
{"formula": "ThNb4", "functional": "PBE", "state": "optimized geometry", "e_form_mev_per_atom": 2006, "spacegroup": "Pm-3m", "lattice_angstrom": [[-0.581, 4.947, 0.337], [-4.877, -0.632, 0.864], [0.899, -0.229, 4.906]], "species": ["Nb", "Nb", "Th", "Nb", "Nb"], "fractional_positions": [[0.000, 0.000, 0.000], [0.500, 0.000, 0.500], [0.500, 0.500, 0.500], [0.500, 0.500, 0.000], [0.000, 0.500, 0.500]]}

***

| no. | total energy (eV per cell) |
| --- | --- |
| 1 | -24.352 |
| 2 | -23.496 |
| 3 | -18.479 |
| 4 | -21.222 |
| 5 | -36.535 |
| 6 | -46.140 |
| 7 | -166.146 |
| 8 | -21.749 |
| 9 | -99.265 |
| 10 | -27.508 |
| 11 | -11.875 |
| 12 | -13.162 |
| 13 | -22.855 |
| 14 | -37.669 |